# 1
An optimized crystal structure of As3Os, computed with PBE.

Output
Crystal system: cubic
Density of states at the Fermi level (states/eV per atom): 0.700
Total magnetic moment (μB/cell): 0.00
Formation enthalpy at 0 K (kcal/mol of atoms): 14.5
Symmetry: Pm-3n (223)
E above lowest polymorph (meV/atom): 527.9

a b c (Å): 5.1661 5.1661 5.1661
angles (deg): 90.00 90.00 90.00
Closest atoms and distances in Å follow each position.
Sites, in units of the cell vectors:
As  0.0000  0.2500  0.5000  2 As 2.58, 4 Os 2.89
As  0.0000  0.7500  0.5000  2 As 2.58, 4 Os 2.89
As  0.2500  0.5000  0.0000  2 As 2.58, 4 Os 2.89
As  0.5000  0.0000  0.2500  2 As 2.58, 4 Os 2.89
As  0.5000  0.0000  0.7500  2 As 2.58, 4 Os 2.89
As  0.7500  0.5000  0.0000  2 As 2.58, 4 Os 2.89
Os  0.0000  0.0000  0.0000  12 As 2.89
Os  0.5000  0.5000  0.5000  12 As 2.89

# 2
An optimized crystal structure of AsOs2, computed with PBE.

Output
Crystal system: orthorhombic
Density of states at the Fermi level (states/eV per atom): 0.620
Total magnetic moment (μB/cell): 0.00
Formation enthalpy at 0 K (kcal/mol of atoms): 12.7
Symmetry: Cmcm (63)

a b c (Å): 2.8887 16.0700 3.9191
angles (deg): 90.00 90.00 90.00
Closest atoms and distances in Å follow each position.
Sites, in units of the cell vectors:
As  0.0000  0.1076  0.2500  6 Os 2.52-2.59
As  0.0000  0.8924  0.7500  6 Os 2.52-2.59
As  0.5000  0.3924  0.7500  6 Os 2.52-2.59
As  0.5000  0.6076  0.2500  6 Os 2.52-2.59
Os  0.0000  0.2132  0.7500  2 As 2.59, 8 Os 2.71-2.89
Os  0.0000  0.4335  0.2500  4 As 2.52, 2 Os 2.76
Os  0.0000  0.5665  0.7500  4 As 2.52, 2 Os 2.76
Os  0.0000  0.7868  0.2500  2 As 2.59, 8 Os 2.71-2.89
Os  0.5000  0.0665  0.7500  4 As 2.52, 2 Os 2.76
Os  0.5000  0.2868  0.2500  2 As 2.59, 8 Os 2.71-2.89
Os  0.5000  0.7132  0.7500  2 As 2.59, 8 Os 2.71-2.89
Os  0.5000  0.9335  0.2500  4 As 2.52, 2 Os 2.76

Among the records above, which one has the lowest density of states at the Fermi level? AsOs2

Repeat the first record exactly.
An optimized crystal structure of As3Os, computed with PBE.

Output
Crystal system: cubic
Density of states at the Fermi level (states/eV per atom): 0.700
Total magnetic moment (μB/cell): 0.00
Formation enthalpy at 0 K (kcal/mol of atoms): 14.5
Symmetry: Pm-3n (223)
E above lowest polymorph (meV/atom): 527.9

a b c (Å): 5.1661 5.1661 5.1661
angles (deg): 90.00 90.00 90.00
Closest atoms and distances in Å follow each position.
Sites, in units of the cell vectors:
As  0.0000  0.2500  0.5000  2 As 2.58, 4 Os 2.89
As  0.0000  0.7500  0.5000  2 As 2.58, 4 Os 2.89
As  0.2500  0.5000  0.0000  2 As 2.58, 4 Os 2.89
As  0.5000  0.0000  0.2500  2 As 2.58, 4 Os 2.89
As  0.5000  0.0000  0.7500  2 As 2.58, 4 Os 2.89
As  0.7500  0.5000  0.0000  2 As 2.58, 4 Os 2.89
Os  0.0000  0.0000  0.0000  12 As 2.89
Os  0.5000  0.5000  0.5000  12 As 2.89